Entry from Alexandria via LeMat-Bulk: crystalline V2GaGeF at its relaxed geometry (PBE+U).

```
5
Lattice="-4.1897 -0.5311 -0.8163 -0.1381 -3.6750 3.0996 -0.9660 2.7235 3.1861" Properties=species:S:1:pos:R:3 pbc="T T T"
Ge -0.0690 -1.8375 1.5498
F 0.0000 0.0000 0.0000
Ga -2.6469 -0.7413 2.7347
V -0.4830 1.3618 1.5930
V -2.0948 -0.2656 -0.4082
```

Calculated values
* DOS at the Fermi energy: 2.412 states/eV/f.u.
* total DFT energy (no corrections): -4.73 eV/atom